Entry from the Alexandria database: a relaxed LiNi2Os crystal (PBE-GGA).

Cell lengths 4.687, 4.687, 4.409 Å; angles 75.67, 75.67, 31.41 degrees
Fractional positions:
Li1 0.264 0.264 0.189
Ni1 0.021 0.021 0.050
Ni2 0.736 0.736 0.697
Os1 0.480 0.480 0.565

ΔE to the lowest computed polymorph (eV per formula unit): 0.09
Energy of formation (eV per atom): 0.0364